Record 1
{
  "formula": "SmTmBr6",
  "functional": "GGA-PBE",
  "state": "optimized geometry",
  "lattice_angstrom": [[3.494, -6.733, 0.000], [3.494, 6.733, 0.000], [-2.052, 0.000, 6.679]],
  "species": ["Sm", "Tm", "Br", "Br", "Br", "Br", "Br", "Br"],
  "frac_coords": [[0.000, 0.000, 0.000], [0.500, 0.500, 0.500], [0.116, 0.402, 0.258], [0.254, 0.254, 0.746], [0.402, 0.116, 0.258], [0.598, 0.884, 0.742], [0.746, 0.746, 0.254], [0.884, 0.598, 0.742]],
  "e_tot_ev_per_atom": -4.237,
  "space_group": "C2/m, No. 12",
  "rho_g_cm3": 4.2
}

---

Record 2
{
  "formula": "AsIr2Pb",
  "functional": "GGA-PBE",
  "state": "optimized geometry",
  "lattice_angstrom": [[3.024, 0.000, 0.000], [0.000, 4.604, 0.000], [0.000, 0.000, 5.186]],
  "species": ["As", "Ir", "Ir", "Pb"],
  "frac_coords": [[0.000, 0.000, 0.000], [0.000, 0.500, 0.500], [0.500, 0.500, 0.000], [0.500, 0.000, 0.500]],
  "formation_energy_mev_per_atom": 639,
  "space_group": "Pmmm, No. 47",
  "rho_g_cm3": 15.3
}

---

For the records above, the corresponding N(E_F) values read 0.0, 3.3 states/eV per cell.